Entry from Alexandria via LeMat-Bulk: a relaxed structure of ScPt4 (PBE).

Cell lengths 4.7054, 4.7054, 4.7054 Å; angles 90.00, 90.00, 90.00 degrees
Last column: nearest neighbours and their distance in Å.
Element x y z (fractional)
Sc 0.0000 0.0000 0.0000  6 Pt 2.35
Pt 0.0000 0.0000 0.5000  2 Sc 2.35
Pt 0.0000 0.5000 0.0000  2 Sc 2.35
Pt 0.5000 0.0000 0.0000  2 Sc 2.35
Pt 0.5000 0.5000 0.5000  12 Pt 3.33

Results
SG: No. 221
ΔH_f (0 K): 0.850 eV per atom
energy: -5.248 eV/atom
offset from the most stable computed form: 1.6466 eV per atom


Entry from Alexandria via LeMat-Bulk: a relaxed structure of Sc5Pt3 (PBE).

Cell lengths 8.0329, 8.0329, 8.0329 Å; angles 96.84, 96.84, 139.63 degrees
Last column: nearest neighbours and their distance in Å.
Element x y z (fractional)
Sc 0.0824 0.7871 0.8694  4 Pt 2.80-2.92, 1 Sc 3.09
Sc 0.2129 0.0824 0.2953  4 Pt 2.80-2.92, 1 Sc 3.09
Sc 0.2500 0.7500 0.5000  2 Sc 2.77, 4 Pt 2.78
Sc 0.2871 0.5824 0.8694  4 Pt 2.80-2.92, 1 Sc 3.09
Sc 0.4176 0.2871 0.7047  4 Pt 2.80-2.92, 1 Sc 3.09
Sc 0.5824 0.7129 0.2953  4 Pt 2.80-2.92, 1 Sc 3.09
Sc 0.7129 0.4176 0.1306  4 Pt 2.80-2.92, 1 Sc 3.09
Sc 0.7500 0.2500 0.5000  2 Sc 2.77, 4 Pt 2.78
Sc 0.7871 0.9176 0.7047  4 Pt 2.80-2.92, 1 Sc 3.09
Sc 0.9176 0.2129 0.1306  4 Pt 2.80-2.92, 1 Sc 3.09
Pt 0.1600 0.3400 0.5000  6 Sc 2.78-2.92
Pt 0.2500 0.2500 0.0000  2 Pt 2.77, 8 Sc 2.80
Pt 0.3400 0.8400 0.1800  6 Sc 2.78-2.92
Pt 0.6600 0.1600 0.8200  6 Sc 2.78-2.92
Pt 0.7500 0.7500 0.0000  2 Pt 2.77, 8 Sc 2.80
Pt 0.8400 0.6600 0.5000  6 Sc 2.78-2.92

Results
SG: No. 140
ΔH_f (0 K): -0.991 eV per atom
energy: -7.214 eV/atom
offset from the most stable computed form: 0.0400 eV per atom